The following is a PBE calculation of crystalline Be2AgW at its relaxed geometry, from Alexandria via LeMat-Bulk.

Its crystal system is orthorhombic. The value obtained for the total energy is -5.416 eV/atom. The value obtained for the formation energy is 1.591 eV/f.u. Its distance to the lowest polymorph of the same formula is 0.896 eV per formula unit.

Cell and atoms, written as CIF:
```
data_Be2AgW
_symmetry_space_group_name_H-M 'I m m 2'
_symmetry_Int_Tables_number 44
_symmetry_space_group_name_Hall 'I 2 -2'
_cell_length_a 2.6481
_cell_length_b 4.2624
_cell_length_c 9.0027
_cell_angle_alpha 90.00
_cell_angle_beta 90.00
_cell_angle_gamma 90.00
loop_
_atom_site_label
_atom_site_type_symbol
_atom_site_fract_x
_atom_site_fract_y
_atom_site_fract_z
Be1 Be 0.0000 0.0000 0.0000
Be2 Be 0.0000 0.5000 0.2896
Ag1 Ag 0.0000 0.0000 0.5452
W1 W 0.0000 0.5000 0.7618
```